[1]
CaCoGe2 after structural relaxation, computed with PBE.

Structure (CIF):
```
data_CaCoGe2
_symmetry_space_group_name_H-M 'I -4 2 d'
_symmetry_Int_Tables_number 122
_symmetry_space_group_name_Hall 'I -4 2bw'
_cell_length_a 4.9543
_cell_length_b 4.9543
_cell_length_c 15.0842
_cell_angle_alpha 90.00
_cell_angle_beta 90.00
_cell_angle_gamma 90.00
loop_
_atom_site_label
_atom_site_type_symbol
_atom_site_fract_x
_atom_site_fract_y
_atom_site_fract_z
Ca1 Ca 0.0000 0.0000 0.0000
Co1 Co 0.0000 0.0000 0.5000
Ge1 Ge 0.0427 0.2500 0.6250
```

Energy of formation from the pure elements (eV per formula unit): -0.62

---

[2]
CrAg2Os after structural relaxation, computed with PBE.

Structure (CIF):
```
data_CrAg2Os
_symmetry_space_group_name_H-M 'P 4 m m'
_symmetry_Int_Tables_number 99
_cell_length_a 2.8608
_cell_length_b 2.8608
_cell_length_c 7.7838
_cell_angle_alpha 90.00
_cell_angle_beta 90.00
_cell_angle_gamma 90.00
loop_
_symmetry_equiv_pos_as_xyz
'x,y,z'
'-y,x,z'
'-x,-y,z'
'y,-x,z'
'-x,y,z'
'y,x,z'
'x,-y,z'
'-y,-x,z'
loop_
_atom_site_label
_atom_site_type_symbol
_atom_site_fract_x
_atom_site_fract_y
_atom_site_fract_z
Cr1 Cr 0.0000 0.0000 0.0000
Ag1 Ag 0.0000 0.0000 0.4577
Ag2 Ag 0.5000 0.5000 0.7328
Os1 Os 0.5000 0.5000 0.1765
```

Energy of formation from the pure elements (eV per formula unit): 1.34

---

[3]
KSrZr2 after structural relaxation, computed with PBE.

Structure (CIF):
```
data_KSrZr2
_symmetry_space_group_name_H-M 'C 1 m 1'
_symmetry_Int_Tables_number 8
_cell_length_a 10.0398
_cell_length_b 3.3282
_cell_length_c 9.2018
_cell_angle_alpha 90.00
_cell_angle_beta 93.38
_cell_angle_gamma 90.00
loop_
_symmetry_equiv_pos_as_xyz
'x,y,z'
'x,-y,z'
'x+1/2,y+1/2,z'
'x+1/2,-y+1/2,z'
loop_
_atom_site_label
_atom_site_type_symbol
_atom_site_fract_x
_atom_site_fract_y
_atom_site_fract_z
K1 K 0.0000 0.0000 0.0000
Sr1 Sr 0.2657 0.5000 0.3657
Zr1 Zr 0.0130 0.5000 0.6119
Zr2 Zr 0.2436 0.0000 0.7026
```

Energy of formation from the pure elements (eV per formula unit): 2.56

---

[4]
RbCuBi2 after structural relaxation, computed with PBE.

Structure (CIF):
```
data_RbCuBi2
_symmetry_space_group_name_H-M 'I -4 2 d'
_symmetry_Int_Tables_number 122
_symmetry_space_group_name_Hall 'I -4 2bw'
_cell_length_a 6.0288
_cell_length_b 6.0288
_cell_length_c 17.9463
_cell_angle_alpha 90.00
_cell_angle_beta 90.00
_cell_angle_gamma 90.00
loop_
_atom_site_label
_atom_site_type_symbol
_atom_site_fract_x
_atom_site_fract_y
_atom_site_fract_z
Rb1 Rb 0.0000 0.0000 0.0000
Cu1 Cu 0.0000 0.0000 0.5000
Bi1 Bi 0.0614 0.2500 0.6250
```

Energy of formation from the pure elements (eV per formula unit): 0.42

---

[5]
RbCaAsCl6 after structural relaxation, computed with PBE.

Structure (CIF):
```
data_RbCaAsCl6
_symmetry_space_group_name_H-M 'P 3 1 2'
_symmetry_Int_Tables_number 149
_cell_length_a 6.9278
_cell_length_b 6.9278
_cell_length_c 7.2779
_cell_angle_alpha 90.00
_cell_angle_beta 90.00
_cell_angle_gamma 120.00
loop_
_symmetry_equiv_pos_as_xyz
'x,y,z'
'-y,x-y,z'
'-x+y,-x,z'
'-y,-x,-z'
'-x+y,y,-z'
'x,x-y,-z'
loop_
_atom_site_label
_atom_site_type_symbol
_atom_site_fract_x
_atom_site_fract_y
_atom_site_fract_z
Rb1 Rb 0.0000 0.0000 0.0000
Ca1 Ca 0.3333 0.6667 0.5000
As1 As 0.6667 0.3333 0.5000
Cl1 Cl 0.3838 0.0245 0.7029
```

Raw formation energy (meV/atom): -1546

---

[6]
YCr2Fe after structural relaxation, computed with PBE.

Structure (CIF):
```
data_YCr2Fe
_symmetry_space_group_name_H-M 'F -4 3 m'
_symmetry_Int_Tables_number 216
_symmetry_space_group_name_Hall 'F -4 2 3'
_cell_length_a 6.3590
_cell_length_b 6.3590
_cell_length_c 6.3590
_cell_angle_alpha 90.00
_cell_angle_beta 90.00
_cell_angle_gamma 90.00
loop_
_atom_site_label
_atom_site_type_symbol
_atom_site_fract_x
_atom_site_fract_y
_atom_site_fract_z
Y1 Y 0.0000 0.0000 0.0000
Cr1 Cr 0.0000 0.0000 0.5000
Cr2 Cr 0.2500 0.2500 0.2500
Fe1 Fe 0.2500 0.2500 0.7500
```

Energy of formation from the pure elements (eV per formula unit): 1.82

---

[7]
Rb2ClO2 after structural relaxation, computed with PBE.

Structure (CIF):
```
data_Rb2ClO2
_symmetry_space_group_name_H-M 'P 4/m b m'
_symmetry_Int_Tables_number 127
_symmetry_space_group_name_Hall '-P 4 2ab'
_cell_length_a 8.4753
_cell_length_b 8.4753
_cell_length_c 4.3628
_cell_angle_alpha 90.00
_cell_angle_beta 90.00
_cell_angle_gamma 90.00
loop_
_atom_site_label
_atom_site_type_symbol
_atom_site_fract_x
_atom_site_fract_y
_atom_site_fract_z
Rb1 Rb 0.1645 0.3355 0.0000
Cl1 Cl 0.0000 0.0000 0.0000
O1 O 0.0569 0.5569 0.5000
```

Raw formation energy (meV/atom): -1178

---

[8]
ScP2Pt after structural relaxation, computed with PBE.

Structure (CIF):
```
data_ScP2Pt
_symmetry_space_group_name_H-M 'P 4/m m m'
_symmetry_Int_Tables_number 123
_symmetry_space_group_name_Hall '-P 4 2'
_cell_length_a 4.3242
_cell_length_b 4.3242
_cell_length_c 3.3043
_cell_angle_alpha 90.00
_cell_angle_beta 90.00
_cell_angle_gamma 90.00
loop_
_atom_site_label
_atom_site_type_symbol
_atom_site_fract_x
_atom_site_fract_y
_atom_site_fract_z
Sc1 Sc 0.0000 0.0000 0.0000
P1 P 0.0000 0.5000 0.5000
Pt1 Pt 0.5000 0.5000 0.0000
```

Energy of formation from the pure elements (eV per formula unit): -2.67

---

[9]
BaSrAl2Ge after structural relaxation, computed with PBE.

Structure (CIF):
```
data_BaSrAl2Ge
_symmetry_space_group_name_H-M 'P 4/m m m'
_symmetry_Int_Tables_number 123
_symmetry_space_group_name_Hall '-P 4 2'
_cell_length_a 5.7472
_cell_length_b 5.7472
_cell_length_c 6.4681
_cell_angle_alpha 90.00
_cell_angle_beta 90.00
_cell_angle_gamma 90.00
loop_
_atom_site_label
_atom_site_type_symbol
_atom_site_fract_x
_atom_site_fract_y
_atom_site_fract_z
Ba1 Ba 0.0000 0.0000 0.0000
Sr1 Sr 0.0000 0.0000 0.5000
Al1 Al 0.0000 0.5000 0.0000
Ge1 Ge 0.5000 0.5000 0.5000
```

Energy of formation from the pure elements (eV per formula unit): 6.57

---

[10]
Ag2PdPb2 after structural relaxation, computed with PBE.

Structure (CIF):
```
data_Ag2PdPb2
_symmetry_space_group_name_H-M 'P 4/m b m'
_symmetry_Int_Tables_number 127
_symmetry_space_group_name_Hall '-P 4 2ab'
_cell_length_a 7.4182
_cell_length_b 7.4182
_cell_length_c 4.2604
_cell_angle_alpha 90.00
_cell_angle_beta 90.00
_cell_angle_gamma 90.00
loop_
_atom_site_label
_atom_site_type_symbol
_atom_site_fract_x
_atom_site_fract_y
_atom_site_fract_z
Ag1 Ag 0.1395 0.3605 0.0000
Pd1 Pd 0.0000 0.0000 0.5000
Pb1 Pb 0.1624 0.6624 0.5000
```

Energy of formation from the pure elements (eV per formula unit): 0.81

---

[11]
TlCuTe2 after structural relaxation, computed with PBE.

Structure (CIF):
```
data_TlCuTe2
_symmetry_space_group_name_H-M 'P 1'
_symmetry_Int_Tables_number 1
_cell_length_a 5.6515
_cell_length_b 6.1444
_cell_length_c 7.2798
_cell_angle_alpha 98.76
_cell_angle_beta 97.47
_cell_angle_gamma 105.00
loop_
_symmetry_equiv_pos_as_xyz
'x,y,z'
loop_
_atom_site_label
_atom_site_type_symbol
_atom_site_fract_x
_atom_site_fract_y
_atom_site_fract_z
Tl1 Tl 0.0000 0.0000 0.0000
Tl2 Tl 0.2958 0.6143 0.2322
Cu1 Cu 0.4023 0.3451 0.5789
Cu2 Cu 0.6671 0.0815 0.6676
Te1 Te 0.0168 0.9835 0.5048
Te2 Te 0.3384 0.7281 0.7246
Te3 Te 0.6312 0.2014 0.3137
Te4 Te 0.6738 0.4330 0.9259
```

Raw formation energy (meV/atom): -92

---

[12]
ScMn2Cr after structural relaxation, computed with PBE.

Structure (CIF):
```
data_ScMn2Cr
_symmetry_space_group_name_H-M 'P 4 m m'
_symmetry_Int_Tables_number 99
_cell_length_a 2.9598
_cell_length_b 2.9598
_cell_length_c 6.6046
_cell_angle_alpha 90.00
_cell_angle_beta 90.00
_cell_angle_gamma 90.00
loop_
_symmetry_equiv_pos_as_xyz
'x,y,z'
'-y,x,z'
'-x,-y,z'
'y,-x,z'
'-x,y,z'
'y,x,z'
'x,-y,z'
'-y,-x,z'
loop_
_atom_site_label
_atom_site_type_symbol
_atom_site_fract_x
_atom_site_fract_y
_atom_site_fract_z
Sc1 Sc 0.0000 0.0000 0.0000
Mn1 Mn 0.0000 0.0000 0.4922
Mn2 Mn 0.5000 0.5000 0.7132
Cr1 Cr 0.5000 0.5000 0.2916
```

Energy of formation from the pure elements (eV per formula unit): 0.64

---

[13]
Li8Br3Cl3O after structural relaxation, computed with PBE.

Structure (CIF):
```
data_Li8Br3Cl3O
_symmetry_space_group_name_H-M 'R -3 m'
_symmetry_Int_Tables_number 166
_symmetry_space_group_name_Hall '-R 3 2"'
_cell_length_a 7.3018
_cell_length_b 7.3018
_cell_length_c 18.2939
_cell_angle_alpha 90.00
_cell_angle_beta 90.00
_cell_angle_gamma 120.00
loop_
_atom_site_label
_atom_site_type_symbol
_atom_site_fract_x
_atom_site_fract_y
_atom_site_fract_z
Li1 Li 0.0000 0.0000 0.2432
Li2 Li 0.0779 0.5389 0.2280
Br1 Br 0.0000 0.5000 0.0000
Cl1 Cl 0.0000 0.5000 0.5000
O1 O 0.0000 0.0000 0.5000
```

Raw formation energy (meV/atom): -1676

---

[14]
KSmCuI6 after structural relaxation, computed with PBE.

Structure (CIF):
```
data_KSmCuI6
_symmetry_space_group_name_H-M 'P 1'
_symmetry_Int_Tables_number 1
_cell_length_a 7.4732
_cell_length_b 7.4743
_cell_length_c 7.9565
_cell_angle_alpha 94.81
_cell_angle_beta 94.81
_cell_angle_gamma 111.52
loop_
_symmetry_equiv_pos_as_xyz
'x,y,z'
loop_
_atom_site_label
_atom_site_type_symbol
_atom_site_fract_x
_atom_site_fract_y
_atom_site_fract_z
K1 K 0.0000 0.0000 0.0000
Sm1 Sm 0.3399 0.6586 0.5001
Cu1 Cu 0.6937 0.3002 0.5013
I1 I 0.0274 0.6031 0.2167
I2 I 0.0312 0.3392 0.6714
I3 I 0.3977 0.9730 0.7827
I4 I 0.4389 0.3482 0.2745
I5 I 0.6497 0.5595 0.7263
I6 I 0.6602 0.9667 0.3291
```

Raw formation energy (meV/atom): -934

---

[15]
Ba2Tl6Pt after structural relaxation, computed with PBE.

Structure (CIF):
```
data_Ba2Tl6Pt
_symmetry_space_group_name_H-M 'F m -3 m'
_symmetry_Int_Tables_number 225
_symmetry_space_group_name_Hall '-F 4 2 3'
_cell_length_a 10.4197
_cell_length_b 10.4197
_cell_length_c 10.4197
_cell_angle_alpha 90.00
_cell_angle_beta 90.00
_cell_angle_gamma 90.00
loop_
_atom_site_label
_atom_site_type_symbol
_atom_site_fract_x
_atom_site_fract_y
_atom_site_fract_z
Ba1 Ba 0.2500 0.2500 0.2500
Tl1 Tl 0.0000 0.0000 0.2261
Pt1 Pt 0.0000 0.0000 0.5000
```

Energy of formation from the pure elements (eV per formula unit): -2.36

---

[16]
La2TbAu4 after structural relaxation, computed with PBE.

Structure (CIF):
```
data_La2TbAu4
_symmetry_space_group_name_H-M 'I 4/m m m'
_symmetry_Int_Tables_number 139
_symmetry_space_group_name_Hall '-I 4 2'
_cell_length_a 5.3678
_cell_length_b 5.3678
_cell_length_c 13.1698
_cell_angle_alpha 90.00
_cell_angle_beta 90.00
_cell_angle_gamma 90.00
loop_
_atom_site_label
_atom_site_type_symbol
_atom_site_fract_x
_atom_site_fract_y
_atom_site_fract_z
La1 La 0.0000 0.0000 0.2161
Tb1 Tb 0.0000 0.0000 0.5000
Au1 Au 0.0000 0.5000 0.1124
```

Energy of formation from the pure elements (eV per formula unit): -4.86

---

[17]
CaAgSe2 after structural relaxation, computed with PBE.

Structure (CIF):
```
data_CaAgSe2
_symmetry_space_group_name_H-M 'P 4/m m m'
_symmetry_Int_Tables_number 123
_symmetry_space_group_name_Hall '-P 4 2'
_cell_length_a 4.8774
_cell_length_b 4.8774
_cell_length_c 3.7010
_cell_angle_alpha 90.00
_cell_angle_beta 90.00
_cell_angle_gamma 90.00
loop_
_atom_site_label
_atom_site_type_symbol
_atom_site_fract_x
_atom_site_fract_y
_atom_site_fract_z
Ca1 Ca 0.0000 0.0000 0.0000
Ag1 Ag 0.5000 0.5000 0.0000
Se1 Se 0.0000 0.5000 0.5000
```

Raw formation energy (meV/atom): -779

---

[18]
Na2CeIrO6 after structural relaxation, computed with PBE.

Structure (CIF):
```
data_Na2CeIrO6
_symmetry_space_group_name_H-M 'P 1 21/c 1'
_symmetry_Int_Tables_number 14
_cell_length_a 5.6767
_cell_length_b 5.7890
_cell_length_c 9.8635
_cell_angle_alpha 90.00
_cell_angle_beta 124.74
_cell_angle_gamma 90.00
loop_
_symmetry_equiv_pos_as_xyz
'x,y,z'
'-x,-y,-z'
'-x,y+1/2,-z+1/2'
'x,-y+1/2,z+1/2'
loop_
_atom_site_label
_atom_site_type_symbol
_atom_site_fract_x
_atom_site_fract_y
_atom_site_fract_z
Na1 Na 0.2416 0.0370 0.2506
Ce1 Ce 0.5000 0.0000 0.0000
Ir1 Ir 0.0000 0.0000 0.5000
O1 O 0.1355 0.2246 0.9516
O2 O 0.2331 0.6893 0.9567
O3 O 0.3179 0.0269 0.7311
```

Raw formation energy (meV/atom): -1775

---

[19]
CuAuCl2 after structural relaxation, computed with PBE.

Structure (CIF):
```
data_CuAuCl2
_symmetry_space_group_name_H-M 'F -4 3 m'
_symmetry_Int_Tables_number 216
_symmetry_space_group_name_Hall 'F -4 2 3'
_cell_length_a 6.6588
_cell_length_b 6.6588
_cell_length_c 6.6588
_cell_angle_alpha 90.00
_cell_angle_beta 90.00
_cell_angle_gamma 90.00
loop_
_atom_site_label
_atom_site_type_symbol
_atom_site_fract_x
_atom_site_fract_y
_atom_site_fract_z
Cu1 Cu 0.0000 0.0000 0.0000
Au1 Au 0.2500 0.2500 0.2500
Cl1 Cl 0.0000 0.0000 0.5000
Cl2 Cl 0.2500 0.2500 0.7500
```

Raw formation energy (meV/atom): 397

---

[20]
AgPCS2 after structural relaxation, computed with PBE.

Structure (CIF):
```
data_AgPCS2
_symmetry_space_group_name_H-M 'P 4/m m m'
_symmetry_Int_Tables_number 123
_symmetry_space_group_name_Hall '-P 4 2'
_cell_length_a 4.8626
_cell_length_b 4.8626
_cell_length_c 4.7907
_cell_angle_alpha 90.00
_cell_angle_beta 90.00
_cell_angle_gamma 90.00
loop_
_atom_site_label
_atom_site_type_symbol
_atom_site_fract_x
_atom_site_fract_y
_atom_site_fract_z
Ag1 Ag 0.0000 0.0000 0.0000
P1 P 0.0000 0.0000 0.5000
C1 C 0.5000 0.5000 0.5000
S1 S 0.0000 0.5000 0.0000
```

Raw formation energy (meV/atom): 2346

---

[21]
Al2PW after structural relaxation, computed with PBE.

Structure (CIF):
```
data_Al2PW
_symmetry_space_group_name_H-M 'I 4/m m m'
_symmetry_Int_Tables_number 139
_symmetry_space_group_name_Hall '-I 4 2'
_cell_length_a 3.7287
_cell_length_b 3.7287
_cell_length_c 8.3754
_cell_angle_alpha 90.00
_cell_angle_beta 90.00
_cell_angle_gamma 90.00
loop_
_atom_site_label
_atom_site_type_symbol
_atom_site_fract_x
_atom_site_fract_y
_atom_site_fract_z
Al1 Al 0.0000 0.5000 0.2500
P1 P 0.0000 0.0000 0.0000
W1 W 0.0000 0.0000 0.5000
```

Energy of formation from the pure elements (eV per formula unit): 0.54

---

no.,electronic total energy (eV/atom)
1,-4.740
2,-6.304
3,-4.328
4,-3.102
5,-3.624
6,-8.088
7,-3.918
8,-6.467
9,-1.828
10,-3.500
11,-3.278
12,-8.414
13,-3.731
14,-3.068
15,-2.939
16,-4.636
17,-3.735
18,-6.494
19,-2.369
20,-2.802
21,-6.326